*1*
# PBE-GGA KLa2Ru, relaxed
# * theoretical density: 4.28 g/cm3
# * DOS(E_F): 5.61 states/eV/cell
# * volume: 324.6 Å³ per cell
data_KLa2Ru
_symmetry_space_group_name_H-M 'C 1 2/m 1'
_symmetry_Int_Tables_number 12
_cell_length_a 7.301
_cell_length_b 4.212
_cell_length_c 10.825
_cell_angle_alpha 90.00
_cell_angle_beta 102.81
_cell_angle_gamma 90.00
loop_
_symmetry_equiv_pos_as_xyz
'x,y,z'
'-x,-y,-z'
'-x,y,-z'
'x,-y,z'
'x+1/2,y+1/2,z'
'-x+1/2,-y+1/2,-z'
'-x+1/2,y+1/2,-z'
'x+1/2,-y+1/2,z'
loop_
_atom_site_label
_atom_site_type_symbol
_atom_site_fract_x
_atom_site_fract_y
_atom_site_fract_z
K1 K 0.000 0.000 0.000
La1 La 0.213 0.000 0.640
Ru1 Ru 0.000 0.500 0.500

*2*
# PBE-GGA KLa2Ru, relaxed
# * theoretical density: 3.29 g/cm3
# * DOS(E_F): 15.09 states/eV/cell
# * volume: 844.8 Å³ per cell
data_KLa2Ru
_symmetry_space_group_name_H-M 'I 41/a m d'
_symmetry_Int_Tables_number 141
_cell_length_a 8.416
_cell_length_b 8.416
_cell_length_c 11.928
_cell_angle_alpha 90.00
_cell_angle_beta 90.00
_cell_angle_gamma 90.00
loop_
_symmetry_equiv_pos_as_xyz
'x,y,z'
'-x,-y,-z'
'-y+1/4,x+3/4,z+1/4'
'y+1/4,-x+3/4,-z+1/4'
'-x+1/2,-y,z+1/2'
'x+1/2,y,-z+1/2'
'y+1/4,-x+1/4,z+3/4'
'-y+1/4,x+1/4,-z+3/4'
'x,-y,-z'
'-x,y,z'
'-y+1/4,-x+1/4,-z+3/4'
'y+1/4,x+1/4,z+3/4'
'-x+1/2,y,-z+1/2'
'x+1/2,-y,z+1/2'
'y+1/4,x+3/4,-z+1/4'
'-y+1/4,-x+3/4,z+1/4'
'x+1/2,y+1/2,z+1/2'
'-x+1/2,-y+1/2,-z+1/2'
'-y+3/4,x+1/4,z+3/4'
'y+3/4,-x+1/4,-z+3/4'
'-x,-y+1/2,z'
'x,y+1/2,-z'
'y+3/4,-x+3/4,z+1/4'
'-y+3/4,x+3/4,-z+1/4'
'x+1/2,-y+1/2,-z+1/2'
'-x+1/2,y+1/2,z+1/2'
'-y+3/4,-x+3/4,-z+1/4'
'y+3/4,x+3/4,z+1/4'
'-x,y+1/2,-z'
'x,-y+1/2,z'
'y+3/4,x+1/4,-z+3/4'
'-y+3/4,-x+1/4,z+3/4'
loop_
_atom_site_label
_atom_site_type_symbol
_atom_site_fract_x
_atom_site_fract_y
_atom_site_fract_z
K1 K 0.000 0.250 0.375
La1 La 0.000 0.000 0.000
Ru1 Ru 0.000 0.250 0.875

Sorted by energy, starting with the most stable: *1*, *2*.

*1*
# PBE-GGA KLa3Ru, relaxed
# * theoretical density: 4.91 g/cm3
# * DOS(E_F): 5.45 states/eV/cell
# * volume: 188.4 Å³ per cell
data_KLa3Ru
_symmetry_space_group_name_H-M 'P m -3 m'
_symmetry_Int_Tables_number 221
_symmetry_space_group_name_Hall '-P 4 2 3'
_cell_length_a 5.733
_cell_length_b 5.733
_cell_length_c 5.733
_cell_angle_alpha 90.00
_cell_angle_beta 90.00
_cell_angle_gamma 90.00
loop_
_atom_site_label
_atom_site_type_symbol
_atom_site_fract_x
_atom_site_fract_y
_atom_site_fract_z
K1 K 0.000 0.000 0.000
La1 La 0.000 0.500 0.500
Ru1 Ru 0.500 0.500 0.500

*2*
# PBE-GGA KLa3Ru, relaxed
# * theoretical density: 6.11 g/cm3
# * DOS(E_F): 5.64 states/eV/cell
# * volume: 151.4 Å³ per cell
data_KLa3Ru
_symmetry_space_group_name_H-M 'P m -3 m'
_symmetry_Int_Tables_number 221
_symmetry_space_group_name_Hall '-P 4 2 3'
_cell_length_a 5.330
_cell_length_b 5.330
_cell_length_c 5.330
_cell_angle_alpha 90.00
_cell_angle_beta 90.00
_cell_angle_gamma 90.00
loop_
_atom_site_label
_atom_site_type_symbol
_atom_site_fract_x
_atom_site_fract_y
_atom_site_fract_z
K1 K 0.000 0.000 0.000
La1 La 0.000 0.000 0.500
Ru1 Ru 0.500 0.500 0.500

Sorted by energy, starting with the most stable: *1*, *2*.

*1*
# PBE-GGA K3LaS, relaxed
# * theoretical density: 1.99 g/cm3
# * DOS(E_F): 9.41 states/eV/cell
# * volume: 240.3 Å³ per cell
data_K3LaS
_symmetry_space_group_name_H-M 'P m -3 m'
_symmetry_Int_Tables_number 221
_symmetry_space_group_name_Hall '-P 4 2 3'
_cell_length_a 6.217
_cell_length_b 6.217
_cell_length_c 6.217
_cell_angle_alpha 90.00
_cell_angle_beta 90.00
_cell_angle_gamma 90.00
loop_
_atom_site_label
_atom_site_type_symbol
_atom_site_fract_x
_atom_site_fract_y
_atom_site_fract_z
K1 K 0.000 0.000 0.500
La1 La 0.500 0.500 0.500
S1 S 0.000 0.000 0.000

*2*
# PBE-GGA K3LaS, relaxed
# * theoretical density: 1.68 g/cm3
# * DOS(E_F): 7.01 states/eV/cell
# * volume: 285.5 Å³ per cell
data_K3LaS
_symmetry_space_group_name_H-M 'P m -3 m'
_symmetry_Int_Tables_number 221
_symmetry_space_group_name_Hall '-P 4 2 3'
_cell_length_a 6.585
_cell_length_b 6.585
_cell_length_c 6.585
_cell_angle_alpha 90.00
_cell_angle_beta 90.00
_cell_angle_gamma 90.00
loop_
_atom_site_label
_atom_site_type_symbol
_atom_site_fract_x
_atom_site_fract_y
_atom_site_fract_z
K1 K 0.000 0.000 0.500
La1 La 0.000 0.000 0.000
S1 S 0.500 0.500 0.500

Sorted by energy, starting with the most stable: *1*, *2*.

*1*
# PBE-GGA KLaS3, relaxed
# * theoretical density: 2.60 g/cm3
# * DOS(E_F): 5.13 states/eV/cell
# * volume: 174.8 Å³ per cell
data_KLaS3
_symmetry_space_group_name_H-M 'P m -3 m'
_symmetry_Int_Tables_number 221
_symmetry_space_group_name_Hall '-P 4 2 3'
_cell_length_a 5.591
_cell_length_b 5.591
_cell_length_c 5.591
_cell_angle_alpha 90.00
_cell_angle_beta 90.00
_cell_angle_gamma 90.00
loop_
_atom_site_label
_atom_site_type_symbol
_atom_site_fract_x
_atom_site_fract_y
_atom_site_fract_z
K1 K 0.000 0.000 0.000
La1 La 0.500 0.500 0.500
S1 S 0.000 0.500 0.500

*2*
# PBE-GGA KLaS3, relaxed
# * theoretical density: 3.37 g/cm3
# * DOS(E_F): 5.11 states/eV/cell
# * volume: 135.1 Å³ per cell
data_KLaS3
_symmetry_space_group_name_H-M 'P m -3 m'
_symmetry_Int_Tables_number 221
_symmetry_space_group_name_Hall '-P 4 2 3'
_cell_length_a 5.131
_cell_length_b 5.131
_cell_length_c 5.131
_cell_angle_alpha 90.00
_cell_angle_beta 90.00
_cell_angle_gamma 90.00
loop_
_atom_site_label
_atom_site_type_symbol
_atom_site_fract_x
_atom_site_fract_y
_atom_site_fract_z
K1 K 0.000 0.000 0.000
La1 La 0.500 0.500 0.500
S1 S 0.000 0.000 0.500

Sorted by energy, starting with the most stable: *1*, *2*.

*1*
# PBE-GGA K2LaSb2, relaxed
# * theoretical density: 4.38 g/cm3
# * DOS(E_F): 8.80 states/eV/cell
# * volume: 349.4 Å³ per cell
data_K2LaSb2
_symmetry_space_group_name_H-M 'I 4/m m m'
_symmetry_Int_Tables_number 139
_symmetry_space_group_name_Hall '-I 4 2'
_cell_length_a 4.653
_cell_length_b 4.653
_cell_length_c 16.139
_cell_angle_alpha 90.00
_cell_angle_beta 90.00
_cell_angle_gamma 90.00
loop_
_atom_site_label
_atom_site_type_symbol
_atom_site_fract_x
_atom_site_fract_y
_atom_site_fract_z
K1 K 0.000 0.500 0.250
La1 La 0.000 0.000 0.000
Sb1 Sb 0.000 0.000 0.409

*2*
# PBE-GGA K2LaSb2, relaxed
# * theoretical density: 4.25 g/cm3
# * DOS(E_F): 5.15 states/eV/cell
# * volume: 359.9 Å³ per cell
data_K2LaSb2
_symmetry_space_group_name_H-M 'P 4/m b m'
_symmetry_Int_Tables_number 127
_symmetry_space_group_name_Hall '-P 4 2ab'
_cell_length_a 9.632
_cell_length_b 9.632
_cell_length_c 3.879
_cell_angle_alpha 90.00
_cell_angle_beta 90.00
_cell_angle_gamma 90.00
loop_
_atom_site_label
_atom_site_type_symbol
_atom_site_fract_x
_atom_site_fract_y
_atom_site_fract_z
K1 K 0.113 0.387 0.000
La1 La 0.000 0.000 0.500
Sb1 Sb 0.188 0.688 0.500

Sorted by energy, starting with the most stable: *1*, *2*.

*1*
# PBE-GGA KLa3Sb, relaxed
# * theoretical density: 3.99 g/cm3
# * DOS(E_F): 10.02 states/eV/cell
# * volume: 240.3 Å³ per cell
data_KLa3Sb
_symmetry_space_group_name_H-M 'P m -3 m'
_symmetry_Int_Tables_number 221
_symmetry_space_group_name_Hall '-P 4 2 3'
_cell_length_a 6.217
_cell_length_b 6.217
_cell_length_c 6.217
_cell_angle_alpha 90.00
_cell_angle_beta 90.00
_cell_angle_gamma 90.00
loop_
_atom_site_label
_atom_site_type_symbol
_atom_site_fract_x
_atom_site_fract_y
_atom_site_fract_z
K1 K 0.000 0.000 0.000
La1 La 0.000 0.500 0.500
Sb1 Sb 0.500 0.500 0.500

*2*
# PBE-GGA KLa3Sb, relaxed
# * theoretical density: 5.78 g/cm3
# * DOS(E_F): 6.14 states/eV/cell
# * volume: 165.9 Å³ per cell
data_KLa3Sb
_symmetry_space_group_name_H-M 'P m -3 m'
_symmetry_Int_Tables_number 221
_symmetry_space_group_name_Hall '-P 4 2 3'
_cell_length_a 5.495
_cell_length_b 5.495
_cell_length_c 5.495
_cell_angle_alpha 90.00
_cell_angle_beta 90.00
_cell_angle_gamma 90.00
loop_
_atom_site_label
_atom_site_type_symbol
_atom_site_fract_x
_atom_site_fract_y
_atom_site_fract_z
K1 K 0.000 0.000 0.000
La1 La 0.000 0.000 0.500
Sb1 Sb 0.500 0.500 0.500

Sorted by energy, starting with the most stable: *1*, *2*.

*1*
# PBE-GGA KLa2Sb2, relaxed
# * theoretical density: 5.42 g/cm3
# * DOS(E_F): 9.22 states/eV/cell
# * volume: 343.3 Å³ per cell
data_KLa2Sb2
_symmetry_space_group_name_H-M 'P 4/m b m'
_symmetry_Int_Tables_number 127
_symmetry_space_group_name_Hall '-P 4 2ab'
_cell_length_a 9.066
_cell_length_b 9.066
_cell_length_c 4.177
_cell_angle_alpha 90.00
_cell_angle_beta 90.00
_cell_angle_gamma 90.00
loop_
_atom_site_label
_atom_site_type_symbol
_atom_site_fract_x
_atom_site_fract_y
_atom_site_fract_z
K1 K 0.000 0.000 0.000
La1 La 0.142 0.358 0.500
Sb1 Sb 0.154 0.654 0.000

*2*
# PBE-GGA KLa2Sb2, relaxed
# * theoretical density: 4.18 g/cm3
# * DOS(E_F): 7.50 states/eV/cell
# * volume: 445.3 Å³ per cell
data_KLa2Sb2
_symmetry_space_group_name_H-M 'I 4/m m m'
_symmetry_Int_Tables_number 139
_symmetry_space_group_name_Hall '-I 4 2'
_cell_length_a 5.418
_cell_length_b 5.418
_cell_length_c 15.171
_cell_angle_alpha 90.00
_cell_angle_beta 90.00
_cell_angle_gamma 90.00
loop_
_atom_site_label
_atom_site_type_symbol
_atom_site_fract_x
_atom_site_fract_y
_atom_site_fract_z
K1 K 0.000 0.000 0.000
La1 La 0.000 0.500 0.250
Sb1 Sb 0.000 0.000 0.364

Sorted by energy, starting with the most stable: *1*, *2*.

*1*
# PBE-GGA KLaSb2Te, relaxed
# * theoretical density: 4.92 g/cm3
# * DOS(E_F): 4.98 states/eV/cell
# * volume: 185.2 Å³ per cell
data_KLaSb2Te
_symmetry_space_group_name_H-M 'P 4/m m m'
_symmetry_Int_Tables_number 123
_symmetry_space_group_name_Hall '-P 4 2'
_cell_length_a 5.650
_cell_length_b 5.650
_cell_length_c 5.802
_cell_angle_alpha 90.00
_cell_angle_beta 90.00
_cell_angle_gamma 90.00
loop_
_atom_site_label
_atom_site_type_symbol
_atom_site_fract_x
_atom_site_fract_y
_atom_site_fract_z
K1 K 0.000 0.000 0.000
La1 La 0.500 0.500 0.500
Sb1 Sb 0.000 0.500 0.000
Te1 Te 0.000 0.000 0.500

*2*
# PBE-GGA KLaSb2Te, relaxed
# * theoretical density: 3.91 g/cm3
# * DOS(E_F): 6.75 states/eV/cell
# * volume: 233.4 Å³ per cell
data_KLaSb2Te
_symmetry_space_group_name_H-M 'P 4/m m m'
_symmetry_Int_Tables_number 123
_symmetry_space_group_name_Hall '-P 4 2'
_cell_length_a 6.132
_cell_length_b 6.132
_cell_length_c 6.207
_cell_angle_alpha 90.00
_cell_angle_beta 90.00
_cell_angle_gamma 90.00
loop_
_atom_site_label
_atom_site_type_symbol
_atom_site_fract_x
_atom_site_fract_y
_atom_site_fract_z
K1 K 0.000 0.000 0.000
La1 La 0.500 0.500 0.500
Sb1 Sb 0.000 0.500 0.500
Te1 Te 0.500 0.500 0.000

Sorted by energy, starting with the most stable: *2*, *1*.